# K8NaTl2

Crystalline K8NaTl2 at its relaxed geometry (PBE, Alexandria).

a b c (Å): 9.4141 9.4141 7.1445
angles (deg): 99.87 99.87 103.68
Closest atoms and distances in Å follow each position.
Fractional positions:
K  0.1638  0.4663  0.3671  7 K 4.01-4.48, 2 Tl 4.08-4.12, 1 Na 4.47
K  0.2441  0.7559  0.0000  1 Na 3.61
K  0.2819  0.2819  0.8298  1 Na 3.80, 2 Tl 3.83, 2 K 4.10
K  0.4663  0.1638  0.3671  7 K 4.01-4.48, 2 Tl 4.08-4.12, 1 Na 4.47
K  0.5337  0.8362  0.6329  7 K 4.01-4.48, 2 Tl 4.08-4.12, 1 Na 4.47
K  0.7181  0.7181  0.1702  1 Na 3.80, 2 Tl 3.83, 2 K 4.10
K  0.7559  0.2441  0.0000  1 Na 3.61
K  0.8362  0.5337  0.6329  7 K 4.01-4.48, 2 Tl 4.08-4.12, 1 Na 4.47
Na  0.0000  0.0000  0.0000  4 K 3.61-3.80, 4 Tl 3.92
Tl  0.1095  0.8905  0.5000  1 Tl 3.24
Tl  0.8905  0.1095  0.5000  1 Tl 3.24

Output
Energy of formation from the pure elements, eV/atom: 0.013
V, Å³/cell: 591.0
ρ, kg/m³: 2092
VASP energy, eV/cell: -14.69